Density functional theory data (PBE-GGA) for crystalline LaZr2Ag at its relaxed geometry.

Computed properties:
ΔH_f (0 K) ... 29.4 kJ per mole of atoms

Unit cell a=4.313 b=4.313 c=21.961 alpha=90.00 beta=90.00 gamma=90.00
Space group I-42d (No. 122)
Unique sites:
La 0.000 0.000 0.000 (multiplicity 4)
Zr 0.237 0.250 0.625 (multiplicity 8)
Ag 0.000 0.000 0.500 (multiplicity 4)